Computed, not measured: crystalline Li6Mg5In2 at its relaxed geometry at the GGA-PBE level of DFT.

Cell: 8.3263 8.3263 19.9441 Å, 90.00 90.00 120.00°
Space group R-3m (No. 166, hexagonal axes)
Asymmetric unit:
Li 0.0000 0.3365 0.0000 (multiplicity 18)
Mg 0.0000 0.0000 0.0776 (multiplicity 6)
Mg 0.0000 0.0000 0.2242 (multiplicity 6)
Mg 0.0000 0.0000 0.5000 (multiplicity 3)
In 0.0000 0.0000 0.3626 (multiplicity 6)

Properties
Magnetic moment, μB per atom: 0.000
Formation energy from the elements, eV/atom: 0.24
DOS(E_F), states/eV/atom: 0.458
Calculated density, Mg/m³: 1.63
DFT total energy, eV for the cell shown: -65.3